Entry 1:
# PBE Li2ReNi2, optimized geometry
data_Li2ReNi2
_chemical_formula_sum 'Li4 Re2 Ni4'
_space_group_name_H-M_alt 'P 4/m b m'
_space_group_IT_number 127
_space_group_name_Hall '-P 4 2ab'
_cell_length_a 6.6869
_cell_length_b 6.6869
_cell_length_c 2.5536
_cell_angle_alpha 90.00
_cell_angle_beta 90.00
_cell_angle_gamma 90.00
loop_
_atom_site_label
_atom_site_fract_x
_atom_site_fract_y
_atom_site_fract_z
_atom_site_occupancy
Li1 0.1094 0.3906 0.0000 1
Re1 0.0000 0.0000 0.0000 1
Ni1 0.1948 0.6948 0.5000 1
# - density of states at the Fermi level (states/eV per atom) = 0.72
# - energy of formation (eV/atom) = 0.1860
# - crystal system = tetragonal
# - total moment (μB/atom) = 0.073

***

Entry 2:
# PBE LiReNi, optimized geometry
data_LiReNi
_chemical_formula_sum 'Li4 Re4 Ni4'
_space_group_name_H-M_alt 'P n m a'
_space_group_IT_number 62
_cell_length_a 6.9329
_cell_length_b 3.6110
_cell_length_c 7.0869
_cell_angle_alpha 90.00
_cell_angle_beta 90.00
_cell_angle_gamma 90.00
loop_
_space_group_symop_operation_xyz
'x,y,z'
'-x,-y,-z'
'-x+1/2,-y,z+1/2'
'x+1/2,y,-z+1/2'
'x+1/2,-y+1/2,-z+1/2'
'-x+1/2,y+1/2,z+1/2'
'-x,y+1/2,-z'
'x,-y+1/2,z'
loop_
_atom_site_label
_atom_site_fract_x
_atom_site_fract_y
_atom_site_fract_z
_atom_site_occupancy
Li1 0.0227 0.2500 0.1500 1
Re1 0.1135 0.2500 0.5426 1
Ni1 0.2343 0.7500 0.3403 1
# - density of states at the Fermi level (states/eV per atom) = 0.66
# - energy of formation (eV/atom) = 0.2578
# - crystal system = orthorhombic
# - total moment (μB/atom) = 0.000

***

Entry 3:
# PBE LiRe2Ni, optimized geometry
data_LiRe2Ni
_chemical_formula_sum 'Li2 Re4 Ni2'
_space_group_name_H-M_alt 'C 1 m 1'
_space_group_IT_number 8
_cell_length_a 8.8391
_cell_length_b 2.5523
_cell_length_c 4.8039
_cell_angle_alpha 90.00
_cell_angle_beta 95.66
_cell_angle_gamma 90.00
loop_
_space_group_symop_operation_xyz
'x,y,z'
'x,-y,z'
'x+1/2,y+1/2,z'
'x+1/2,-y+1/2,z'
loop_
_atom_site_label
_atom_site_fract_x
_atom_site_fract_y
_atom_site_fract_z
_atom_site_occupancy
Li1 0.0000 0.0000 0.0000 1
Re1 0.2427 0.0000 0.7277 1
Re2 0.4835 0.0000 0.4913 1
Ni1 0.2545 0.5000 0.2086 1
# - density of states at the Fermi level (states/eV per atom) = 0.62
# - energy of formation (eV/atom) = 0.1894
# - crystal system = monoclinic
# - total moment (μB/atom) = 0.000